A geometry-optimized Zn3TeO structure. Source: Alexandria, functional GGA-PBE.

Summary:
electronic total energy = -2.578 eV per atom
symmetry = No. 221
DOS at the Fermi energy = 2.24 states/eV/f.u.

a b c (Å): 4.429 4.429 4.429
angles (deg): 90.00 90.00 90.00
Element x y z (fractional)
Te  0.500  0.500  0.500
O  0.000  0.000  0.000
Zn  0.500  0.000  0.000
Zn  0.000  0.500  0.000
Zn  0.000  0.000  0.500



A geometry-optimized ZrHgS2 structure. Source: Alexandria, functional GGA-PBE.

Summary:
electronic total energy = -4.975 eV per atom
symmetry = No. 156
DOS at the Fermi energy = 0.00 states/eV/f.u.

a b c (Å): 4.108 4.108 9.090
angles (deg): 90.00 90.00 120.00
Element x y z (fractional)
Hg  0.000  0.000  0.977
S  0.667  0.333  0.343
S  0.333  0.667  0.690
Zr  0.333  0.667  0.446



A geometry-optimized Sc4Te3P structure. Source: Alexandria, functional GGA-PBE.

Summary:
electronic total energy = -6.278 eV per atom
symmetry = No. 65
DOS at the Fermi energy = 4.14 states/eV/f.u.

a b c (Å): 4.005 7.095 7.095
angles (deg): 108.87 90.00 90.00
Element x y z (fractional)
Te  0.000  0.000  0.500
Te  0.000  0.500  0.000
Te  0.500  0.500  0.500
Sc  0.500  0.224  0.776
Sc  0.000  0.790  0.790
Sc  0.500  0.776  0.224
Sc  0.000  0.210  0.210
P  0.500  0.000  0.000



A geometry-optimized Ca2TiZnMo structure. Source: Alexandria, functional GGA-PBE.

Summary:
E_form = 27.7 kcal/mol of atoms
symmetry = No. 123
DOS at the Fermi energy = 7.35 states/eV/f.u.

a b c (Å): 5.490 5.490 4.936
angles (deg): 90.00 90.00 90.00
Site moments in Bohr magnetons follow the coordinates.
Element x y z (fractional)
Mo  0.000  0.000  0.000  -1.69
Ca  0.000  0.500  0.000  -0.03
Ca  0.500  0.000  0.000  -0.03
Zn  0.000  0.000  0.500  -0.01
Ti  0.500  0.500  0.500  1.97



A geometry-optimized LiNi2Ru structure. Source: Alexandria, functional GGA-PBE.

Summary:
E_form = 2.4 kcal/mol of atoms
symmetry = No. 123
DOS at the Fermi energy = 5.37 states/eV/f.u.

a b c (Å): 2.606 2.606 7.305
angles (deg): 90.00 90.00 90.00
Site moments in Bohr magnetons follow the coordinates.
Element x y z (fractional)
Li  0.500  0.500  0.750  -0.01
Ni  0.000  0.000  0.492  0.20
Ni  0.000  0.000  0.008  0.20
Ru  0.500  0.500  0.250  0.22



A geometry-optimized ZnCd2Co2 structure. Source: Alexandria, functional GGA-PBE.

Summary:
E_form = 4.4 kcal/mol of atoms
symmetry = No. 127
DOS at the Fermi energy = 9.44 states/eV/f.u.

a b c (Å): 6.140 6.140 4.180
angles (deg): 90.00 90.00 90.00
Site moments in Bohr magnetons follow the coordinates.
Element x y z (fractional)
Cd  0.327  0.173  0.500  -0.03
Cd  0.827  0.327  0.500  -0.03
Cd  0.673  0.827  0.500  -0.03
Cd  0.173  0.673  0.500  -0.03
Co  0.372  0.872  0.000  0.61
Co  0.628  0.128  0.000  0.61
Co  0.128  0.372  0.000  0.57
Co  0.872  0.628  0.000  0.57
Zn  0.000  0.000  0.000  -0.04
Zn  0.500  0.500  0.000  -0.04



A geometry-optimized ScSiIr3 structure. Source: Alexandria, functional GGA-PBE.

Summary:
electronic total energy = -7.782 eV per atom
symmetry = No. 221
DOS at the Fermi energy = 0.45 states/eV/f.u.

a b c (Å): 4.433 4.433 4.433
angles (deg): 90.00 90.00 90.00
Element x y z (fractional)
Si  0.000  0.000  0.000
Ir  0.000  0.500  0.000
Ir  0.500  0.000  0.000
Ir  0.000  0.000  0.500
Sc  0.500  0.500  0.500



A geometry-optimized LiPm2Sn structure. Source: Alexandria, functional GGA-PBE.

Summary:
E_form = -9.9 kcal/mol of atoms
symmetry = No. 123
DOS at the Fermi energy = 3.73 states/eV/f.u.

a b c (Å): 4.358 5.010 5.010
angles (deg): 90.00 90.00 90.00
Element x y z (fractional)
Sn  0.500  0.500  0.500
Pm  0.000  0.500  0.000
Pm  0.000  0.000  0.500
Li  0.500  0.000  0.000



A geometry-optimized Na3Cd8Hg3 structure. Source: Alexandria, functional GGA-PBE.

Summary:
E_form = -1.6 kcal/mol of atoms
symmetry = No. 71
DOS at the Fermi energy = 5.49 states/eV/f.u.

a b c (Å): 4.784 8.899 8.899
angles (deg): 85.16 74.41 74.41
Element x y z (fractional)
Na  0.500  0.500  0.500
Na  0.795  0.205  0.205
Na  0.205  0.795  0.795
Cd  0.351  0.383  0.915
Cd  0.135  0.245  0.484
Cd  0.649  0.617  0.085
Cd  0.135  0.484  0.245
Cd  0.351  0.915  0.383
Cd  0.865  0.755  0.516
Cd  0.649  0.085  0.617
Cd  0.865  0.516  0.755
Hg  0.000  0.835  0.165
Hg  0.000  0.165  0.835
Hg  0.500  0.000  0.000



A geometry-optimized LaIrRu2 structure. Source: Alexandria, functional GGA-PBE.

Summary:
E_form = 8.0 kcal/mol of atoms
symmetry = No. 216
DOS at the Fermi energy = 3.69 states/eV/f.u.

a b c (Å): 4.704 4.704 4.704
angles (deg): 60.00 60.00 60.00
Site moments in Bohr magnetons follow the coordinates.
Element x y z (fractional)
Ir  0.500  0.500  0.500  0.73
Ru  0.250  0.250  0.250  1.75
Ru  0.000  0.000  0.000  1.30
La  0.750  0.750  0.750  -0.01



A geometry-optimized SrOs2 structure. Source: Alexandria, functional GGA-PBE.

Summary:
E_form = 11.2 kcal/mol of atoms
symmetry = No. 71
DOS at the Fermi energy = 2.42 states/eV/f.u.

a b c (Å): 6.165 6.165 6.165
angles (deg): 153.24 143.04 46.21
Element x y z (fractional)
Os  0.287  0.787  0.500
Os  0.713  0.213  0.500
Sr  0.000  0.500  0.500



A geometry-optimized ZrTc2Ir2 structure. Source: Alexandria, functional GGA-PBE.

Summary:
E_form = -5.2 kcal/mol of atoms
symmetry = No. 127
DOS at the Fermi energy = 4.63 states/eV/f.u.

a b c (Å): 7.663 7.663 2.763
angles (deg): 90.00 90.00 90.00
Element x y z (fractional)
Tc  0.826  0.326  0.500
Tc  0.674  0.826  0.500
Tc  0.174  0.674  0.500
Tc  0.326  0.174  0.500
Zr  0.500  0.500  0.000
Zr  0.000  0.000  0.000
Ir  0.877  0.623  0.000
Ir  0.123  0.377  0.000
Ir  0.377  0.877  0.000
Ir  0.623  0.123  0.000



It is found that the theoretical density values, taken in the order of the records, are 6.49 4.45 5.17 3.23 7.55 8.60 12.38 6.31 7.42 12.03 12.29 13.75 g/cm3.